#A
## Pm4HoIn (GGA-PBE)

Data for Pm4HoIn after structural relaxation.

a b c (Å): 3.584 6.904 15.562
angles (deg): 90.00 96.61 90.00
Element x y z (fractional)
Pm  0.159  0.506  0.318
Pm  0.159  0.994  0.318
Pm  0.000  0.000  0.000
Pm  0.582  0.250  0.164
In  0.579  0.750  0.159
Pm  0.841  0.006  0.682
Pm  0.000  0.500  0.000
Ho  0.257  0.750  0.514
Pm  0.841  0.494  0.682
Pm  0.418  0.750  0.836
Ho  0.743  0.250  0.486
In  0.421  0.250  0.841

Calculated values
symmetry = Cmcm (63)
theoretical density = 7.46 g cm⁻³
V = 383 Å³ per cell
spin magnetization = 0.00 μB/f.u.


#B
## Pm4HoIn (GGA-PBE)

Data for Pm4HoIn after structural relaxation.

a b c (Å): 5.686 6.467 11.011
angles (deg): 90.00 104.96 90.00
Element x y z (fractional)
Pm  0.438  0.924  0.876
In  0.104  0.188  0.208
Pm  0.249  0.054  0.498
Pm  0.044  0.742  0.087
Ho  0.364  0.440  0.727
In  0.896  0.688  0.792
Pm  0.812  0.087  0.624
Pm  0.751  0.554  0.502
Pm  0.188  0.587  0.376
Pm  0.956  0.242  0.913
Pm  0.562  0.424  0.124
Ho  0.636  0.940  0.273

Calculated values
symmetry = Cmc2_1 (36)
theoretical density = 7.30 g cm⁻³
V = 391 Å³ per cell
spin magnetization = 0.00 μB/f.u.


Preferred: #A; penalty for the next structure: 0.038 eV/atom.


#A
## Pm3Ho3In2 (GGA-PBE)

Data for Pm3Ho3In2 after structural relaxation.

a b c (Å): 4.869 4.885 9.844
angles (deg): 90.00 90.00 90.00
Element x y z (fractional)
In  0.000  0.000  0.753
Ho  0.500  0.500  0.752
Pm  0.500  0.000  0.500
Ho  0.500  0.500  0.248
Pm  0.000  0.500  0.500
Ho  0.500  0.000  0.000
In  0.000  0.000  0.247
Pm  0.000  0.500  0.000

Calculated values
symmetry = Pmmm (47)
theoretical density = 8.22 g cm⁻³
V = 234 Å³ per cell
spin magnetization = 0.03 μB/f.u.


#B
## Pm3Ho3In2 (GGA-PBE)

Data for Pm3Ho3In2 after structural relaxation.

a b c (Å): 5.169 6.478 16.225
angles (deg): 90.00 90.00 113.51
Element x y z (fractional)
In  0.764  0.528  0.635
Ho  0.640  0.281  0.036
Pm  0.960  0.920  0.396
Ho  0.640  0.281  0.464
Pm  0.040  0.080  0.604
Pm  0.736  0.472  0.250
In  0.236  0.472  0.365
Ho  0.360  0.719  0.536
Pm  0.264  0.528  0.750
Ho  0.457  0.914  0.250
Ho  0.360  0.719  0.964
In  0.764  0.528  0.865
Pm  0.960  0.920  0.104
In  0.236  0.472  0.135
Pm  0.040  0.080  0.896
Ho  0.543  0.086  0.750

Calculated values
symmetry = Cmcm (63)
theoretical density = 7.73 g cm⁻³
V = 498 Å³ per cell
spin magnetization = 0.00 μB/f.u.


Preferred: #A; penalty for the next structure: 0.105 eV/atom.


#A
## Pm5HoIn2 (GGA-PBE)

Data for Pm5HoIn2 after structural relaxation.

a b c (Å): 4.926 6.987 13.976
angles (deg): 90.00 90.00 90.00
Element x y z (fractional)
Pm  0.000  0.000  0.000
Pm  0.500  0.749  0.624
Pm  0.000  0.001  0.252
In  0.500  0.746  0.877
Ho  0.000  0.000  0.500
Ho  0.000  0.500  0.000
Pm  0.000  0.499  0.752
Pm  0.500  0.751  0.124
In  0.500  0.254  0.123
Pm  0.500  0.249  0.876
In  0.500  0.246  0.623
Pm  0.000  0.500  0.500
Pm  0.500  0.251  0.376
Pm  0.000  0.501  0.248
In  0.500  0.754  0.377
Pm  0.000  0.999  0.748

Calculated values
symmetry = Pbam (55)
theoretical density = 7.73 g cm⁻³
V = 481 Å³ per cell
spin magnetization = 0.00 μB/f.u.


#B
## Pm5HoIn2 (GGA-PBE)

Data for Pm5HoIn2 after structural relaxation.

a b c (Å): 3.645 8.519 8.519
angles (deg): 80.20 77.65 77.65
Element x y z (fractional)
Ho  0.000  0.000  0.000
Pm  0.638  0.141  0.583
Pm  0.000  0.500  0.500
Pm  0.362  0.859  0.417
In  0.725  0.775  0.775
Pm  0.362  0.417  0.859
In  0.275  0.225  0.225
Pm  0.638  0.583  0.141

Calculated values
symmetry = Immm (71)
theoretical density = 7.43 g cm⁻³
V = 250 Å³ per cell
spin magnetization = 0.00 μB/f.u.


Preferred: #A; penalty for the next structure: 0.118 eV/atom.


#A
## PmHo3In2 (GGA-PBE)

Data for PmHo3In2 after structural relaxation.

a b c (Å): 4.462 9.879 15.357
angles (deg): 90.00 90.00 90.00
Element x y z (fractional)
Pm  0.250  0.997  0.908
In  0.250  0.497  0.247
Ho  0.250  0.753  0.754
In  0.750  0.003  0.747
In  0.750  0.744  0.920
Ho  0.250  0.503  0.909
Ho  0.750  0.252  0.933
Ho  0.750  0.497  0.091
Pm  0.750  0.003  0.092
Ho  0.750  0.752  0.567
Ho  0.250  0.003  0.591
Ho  0.250  0.253  0.746
In  0.750  0.503  0.753
In  0.750  0.244  0.580
Ho  0.750  0.247  0.246
Ho  0.750  0.747  0.254
In  0.250  0.256  0.080
Pm  0.750  0.503  0.408
In  0.250  0.997  0.253
Ho  0.750  0.997  0.409
In  0.250  0.756  0.420
Ho  0.250  0.748  0.067
Ho  0.250  0.248  0.433
Pm  0.250  0.497  0.592

Calculated values
symmetry = Pnma (62)
theoretical density = 8.53 g cm⁻³
V = 677 Å³ per cell
spin magnetization = 0.00 μB/f.u.


#B
## PmHo3In2 (GGA-PBE)

Data for PmHo3In2 after structural relaxation.

a b c (Å): 5.362 9.184 9.232
angles (deg): 124.52 90.00 106.97
Element x y z (fractional)
Ho  0.384  0.768  0.312
In  0.479  0.959  0.128
Ho  0.059  0.119  0.404
In  0.521  0.041  0.872
In  0.773  0.546  0.140
Ho  0.616  0.232  0.688
In  0.227  0.454  0.860
Ho  0.941  0.881  0.596
Ho  0.307  0.615  0.606
Ho  0.693  0.385  0.394
Pm  0.869  0.737  0.907
Pm  0.131  0.263  0.093

Calculated values
symmetry = C2/m (12)
theoretical density = 8.24 g cm⁻³
V = 350 Å³ per cell
spin magnetization = 0.41 μB/f.u.


Preferred: #A; penalty for the next structure: 0.047 eV/atom.


#A
## PmHo3In4 (GGA-PBE)

Data for PmHo3In4 after structural relaxation.

a b c (Å): 5.494 7.242 10.783
angles (deg): 90.00 90.00 90.00
Element x y z (fractional)
Ho  0.000  0.000  0.000
Ho  0.576  0.000  0.750
In  0.081  0.756  0.750
Pm  0.000  0.500  0.500
Pm  0.000  0.500  0.000
In  0.919  0.756  0.250
In  0.500  0.757  0.000
In  0.500  0.757  0.500
In  0.500  0.243  0.500
In  0.919  0.244  0.250
Ho  0.433  0.500  0.250
Ho  0.567  0.500  0.750
In  0.081  0.244  0.750
Ho  0.000  0.000  0.500
In  0.500  0.243  0.000
Ho  0.424  0.000  0.250

Calculated values
symmetry = Pmma (51)
theoretical density = 8.51 g cm⁻³
V = 429 Å³ per cell
spin magnetization = 0.00 μB/f.u.


#B
## PmHo3In4 (GGA-PBE)

Data for PmHo3In4 after structural relaxation.

a b c (Å): 3.433 7.136 10.191
angles (deg): 110.49 99.70 90.00
Element x y z (fractional)
Ho  0.000  0.500  0.000
In  0.372  0.582  0.744
In  0.628  0.418  0.256
In  0.628  0.838  0.256
In  0.372  0.162  0.744
Ho  0.780  0.780  0.560
Pm  0.500  0.000  0.000
Ho  0.220  0.220  0.440

Calculated values
symmetry = Immm (71)
theoretical density = 7.93 g cm⁻³
V = 230 Å³ per cell
spin magnetization = 0.14 μB/f.u.


Preferred: #A; penalty for the next structure: 0.157 eV/atom.


#A
## Pm2HoIn2 (GGA-PBE)

Data for Pm2HoIn2 after structural relaxation.

a b c (Å): 4.508 4.932 13.049
angles (deg): 90.00 99.94 90.00
Element x y z (fractional)
Pm  0.049  0.750  0.098
Pm  0.951  0.250  0.902
In  0.649  0.750  0.298
Pm  0.239  0.750  0.479
Pm  0.761  0.250  0.521
Ho  0.857  0.750  0.713
In  0.548  0.250  0.096
Ho  0.143  0.250  0.287
In  0.452  0.750  0.904
In  0.351  0.250  0.702

Calculated values
symmetry = P2_1/m (11)
theoretical density = 7.96 g cm⁻³
V = 286 Å³ per cell
spin magnetization = 0.00 μB/f.u.


#B
## Pm2HoIn2 (GGA-PBE)

Data for Pm2HoIn2 after structural relaxation.

a b c (Å): 5.536 6.560 8.527
angles (deg): 90.00 108.94 90.00
Element x y z (fractional)
Ho  0.597  0.582  0.194
In  0.399  0.567  0.798
In  0.218  0.353  0.436
Pm  0.029  0.293  0.058
In  0.782  0.853  0.564
Ho  0.403  0.082  0.806
Pm  0.971  0.793  0.942
In  0.601  0.067  0.202
Pm  0.801  0.340  0.602
Pm  0.199  0.840  0.398

Calculated values
symmetry = Cmc2_1 (36)
theoretical density = 7.76 g cm⁻³
V = 293 Å³ per cell
spin magnetization = 0.00 μB/f.u.


Preferred: #A; penalty for the next structure: 0.047 eV/atom.